# 1
Pa6InS8 after structural relaxation, computed with PBE.

a b c (Å): 7.776 7.776 7.776
angles (deg): 93.96 93.96 93.96
Element x y z (fractional)
Pa  0.211  0.574  0.395
Pa  0.395  0.211  0.574
Pa  0.426  0.605  0.789
Pa  0.574  0.395  0.211
Pa  0.605  0.789  0.426
Pa  0.789  0.426  0.605
In  0.000  0.000  0.000
S  0.129  0.398  0.692
S  0.249  0.249  0.249
S  0.308  0.871  0.602
S  0.398  0.692  0.129
S  0.602  0.308  0.871
S  0.692  0.129  0.398
S  0.751  0.751  0.751
S  0.871  0.602  0.308

Values from the calculation:
Crystal system = trigonal
Space-group type = No. 148

=====

# 2
Pa2In2S5 after structural relaxation, computed with PBE.

a b c (Å): 8.738 8.738 7.581
angles (deg): 90.00 90.00 51.53
Element x y z (fractional)
Pa  0.159  0.841  0.841
Pa  0.341  0.659  0.341
Pa  0.659  0.341  0.659
Pa  0.841  0.159  0.159
In  0.200  0.200  0.500
In  0.300  0.300  0.000
In  0.700  0.700  0.000
In  0.800  0.800  0.500
S  0.000  0.000  0.500
S  0.036  0.744  0.146
S  0.244  0.536  0.646
S  0.256  0.964  0.146
S  0.464  0.756  0.646
S  0.500  0.500  0.000
S  0.536  0.244  0.354
S  0.744  0.036  0.854
S  0.756  0.464  0.354
S  0.964  0.256  0.854

Values from the calculation:
Crystal system = orthorhombic
Space-group type = No. 64

=====

# 3
PaInS4 after structural relaxation, computed with PBE.

a b c (Å): 7.463 7.258 8.835
angles (deg): 54.19 52.06 73.74
Element x y z (fractional)
Pa  0.000  0.000  0.000
Pa  0.250  0.250  0.250
In  0.511  0.511  0.489
In  0.761  0.761  0.739
S  0.209  0.806  0.455
S  0.214  0.295  0.943
S  0.295  0.214  0.548
S  0.307  0.702  0.036
S  0.702  0.307  0.955
S  0.720  0.795  0.444
S  0.795  0.720  0.041
S  0.806  0.209  0.530

Values from the calculation:
Crystal system = orthorhombic
E above lowest polymorph = 0 kJ/mol of formula units
Space-group type = No. 43

=====

# 4
PaIn2S6 after structural relaxation, computed with PBE.

a b c (Å): 8.604 8.604 7.193
angles (deg): 99.42 99.42 88.11
Element x y z (fractional)
Pa  0.097  0.903  0.750
Pa  0.903  0.097  0.250
In  0.240  0.402  0.692
In  0.402  0.240  0.192
In  0.598  0.760  0.808
In  0.760  0.598  0.308
S  0.040  0.184  0.619
S  0.080  0.625  0.822
S  0.184  0.040  0.119
S  0.337  0.479  0.412
S  0.375  0.920  0.678
S  0.479  0.337  0.912
S  0.521  0.663  0.088
S  0.625  0.080  0.322
S  0.663  0.521  0.588
S  0.816  0.960  0.881
S  0.920  0.375  0.178
S  0.960  0.816  0.381

Values from the calculation:
Crystal system = monoclinic
Space-group type = No. 15

=====

# 5
Pa2In2S7 after structural relaxation, computed with PBE.

a b c (Å): 8.785 8.785 8.785
angles (deg): 153.43 63.58 123.40
Element x y z (fractional)
Pa  0.000  0.000  0.000
Pa  0.550  0.050  0.500
In  0.005  0.757  0.248
In  0.509  0.757  0.752
S  0.216  0.716  0.500
S  0.267  0.082  0.184
S  0.397  0.512  0.885
S  0.628  0.512  0.115
S  0.736  0.333  0.404
S  0.898  0.082  0.816
S  0.929  0.333  0.596

Values from the calculation:
Crystal system = orthorhombic
Space-group type = No. 44

=====

# 6
Sr2PaInS6 after structural relaxation, computed with PBE.

a b c (Å): 7.167 7.167 5.455
angles (deg): 90.00 90.00 90.00
Element x y z (fractional)
Sr  0.000  0.500  0.000
Sr  0.500  0.000  0.000
Pa  0.000  0.000  0.628
In  0.500  0.500  0.564
S  0.000  0.000  0.143
S  0.252  0.252  0.675
S  0.252  0.748  0.675
S  0.500  0.500  0.122
S  0.748  0.252  0.675
S  0.748  0.748  0.675

Values from the calculation:
Crystal system = tetragonal
Space-group type = No. 99

=====

# 7
PaTa2In2S6 after structural relaxation, computed with PBE.

a b c (Å): 6.156 6.156 8.042
angles (deg): 96.19 96.19 117.73
Element x y z (fractional)
Pa  0.000  0.000  0.000
Ta  0.361  0.639  0.000
Ta  0.639  0.361  0.000
In  0.179  0.821  0.500
In  0.821  0.179  0.500
S  0.052  0.414  0.184
S  0.280  0.280  0.787
S  0.414  0.052  0.184
S  0.586  0.948  0.816
S  0.720  0.720  0.213
S  0.948  0.586  0.816

Values from the calculation:
Crystal system = monoclinic
Space-group type = No. 12

=====

# 8
PaInSb after structural relaxation, computed with PBE.

a b c (Å): 10.591 8.762 7.587
angles (deg): 80.40 54.66 44.94
Element x y z (fractional)
Pa  0.094  0.656  0.094
Pa  0.344  0.906  0.344
Pa  0.656  0.094  0.656
Pa  0.906  0.344  0.906
In  0.038  0.038  0.212
In  0.212  0.212  0.038
In  0.788  0.788  0.962
In  0.962  0.962  0.788
Sb  0.000  0.500  0.500
Sb  0.500  0.000  0.500
Sb  0.500  0.500  0.000
Sb  0.500  0.500  0.500

Values from the calculation:
Crystal system = orthorhombic
E above lowest polymorph = 125 kJ/mol of formula units
Space-group type = No. 70

=====

# 9
PaInSb2 after structural relaxation, computed with PBE.

a b c (Å): 4.012 4.012 6.623
angles (deg): 90.00 90.00 90.00
Element x y z (fractional)
Pa  0.000  0.000  0.000
In  0.000  0.000  0.500
Sb  0.500  0.500  0.232
Sb  0.500  0.500  0.768

Values from the calculation:
Crystal system = tetragonal
E above lowest polymorph = 11 kJ/mol of formula units
Space-group type = No. 123

=====

# 10
PaInSb after structural relaxation, computed with PBE.

a b c (Å): 8.414 8.414 4.455
angles (deg): 90.00 90.00 150.36
Element x y z (fractional)
Pa  0.090  0.910  0.750
Pa  0.910  0.090  0.250
In  0.246  0.754  0.250
In  0.754  0.246  0.750
Sb  0.422  0.578  0.750
Sb  0.578  0.422  0.250

Values from the calculation:
Crystal system = orthorhombic
E above lowest polymorph = 5 kJ/mol of formula units
Space-group type = No. 63

=====

# 11
PaInSb2 after structural relaxation, computed with PBE.

a b c (Å): 4.952 4.952 4.124
angles (deg): 90.00 90.00 90.00
Element x y z (fractional)
Pa  0.000  0.000  0.000
In  0.500  0.500  0.000
Sb  0.000  0.500  0.500
Sb  0.500  0.000  0.500

Values from the calculation:
Crystal system = tetragonal
E above lowest polymorph = 0 kJ/mol of formula units
Space-group type = No. 123

=====

# 12
PaInSb2 after structural relaxation, computed with PBE.

a b c (Å): 11.987 11.987 11.987
angles (deg): 15.73 15.73 15.73
Element x y z (fractional)
Pa  0.000  0.000  0.000
In  0.500  0.500  0.500
Sb  0.409  0.409  0.409
Sb  0.591  0.591  0.591

Values from the calculation:
Crystal system = trigonal
E above lowest polymorph = 93 kJ/mol of formula units
Space-group type = No. 166

=====

Number 1: final energy -0.531 Ry/atom, total moment 7.96 μB per cell, volume 467 Å³/f.u.. Number 2: final energy -0.454 Ry/atom, total moment 4.04 μB per cell, volume 227 Å³/f.u.. Number 3: final energy -0.426 Ry/atom, total moment 0.00 μB per cell, volume 152 Å³/f.u.. Number 4: final energy -0.378 Ry/atom, total moment 2.00 μB per cell, volume 259 Å³/f.u.. Number 5: final energy -0.432 Ry/atom, total moment 0.00 μB per cell, volume 251 Å³/f.u.. Number 6: final energy -0.400 Ry/atom, total moment 0.00 μB per cell, volume 280 Å³/f.u.. Number 7: final energy -0.493 Ry/atom, total moment 0.00 μB per cell, volume 264 Å³/f.u.. Number 8: final energy -0.390 Ry/atom, total moment 1.92 μB per cell, volume 92 Å³/f.u.. Number 9: final energy -0.400 Ry/atom, total moment 0.00 μB per cell, volume 107 Å³/f.u.. Number 10: final energy -0.421 Ry/atom, total moment 1.01 μB per cell, volume 78 Å³/f.u.. Number 11: final energy -0.402 Ry/atom, total moment 0.00 μB per cell, volume 101 Å³/f.u.. Number 12: final energy -0.385 Ry/atom, total moment 0.00 μB per cell, volume 110 Å³/f.u..